Record 1
DFT (PBE) results for an optimized crystal structure of AcTb4Pm3.

Unit cell a=11.7325 b=7.4116 c=6.3768 alpha=90.00 beta=90.00 gamma=90.00
With the nearest neighbours (Å) after each atom.
Sites, in units of the cell vectors:
1 Ac 0.0000 0.1262 0.0000  6 Pm 3.65-3.76, 6 Tb 3.65-3.76
2 Ac 0.5000 0.8738 0.5000  6 Pm 3.65-3.76, 6 Tb 3.65-3.76
3 Tb 0.0000 0.3827 0.4916  6 Tb 3.56-3.66, 4 Pm 3.60-3.81, 2 Ac 3.67-3.76
4 Tb 0.0000 0.6225 0.9906  6 Tb 3.59-3.66, 4 Pm 3.64-3.68, 2 Ac 3.68-3.73
5 Tb 0.2476 0.6203 0.6589  6 Tb 3.56-3.65, 5 Pm 3.60-3.78, 1 Ac 3.65
6 Tb 0.2524 0.3797 0.1589  6 Tb 3.56-3.65, 5 Pm 3.60-3.78, 1 Ac 3.65
7 Tb 0.5000 0.3775 0.4906  6 Tb 3.59-3.66, 4 Pm 3.64-3.68, 2 Ac 3.68-3.73
8 Tb 0.5000 0.6173 0.9916  6 Tb 3.56-3.66, 4 Pm 3.60-3.81, 2 Ac 3.67-3.76
9 Tb 0.7476 0.3797 0.1589  6 Tb 3.56-3.65, 5 Pm 3.60-3.78, 1 Ac 3.65
10 Tb 0.7524 0.6203 0.6589  6 Tb 3.56-3.65, 5 Pm 3.60-3.78, 1 Ac 3.65
11 Pm 0.0000 0.8681 0.4930  6 Tb 3.60-3.81, 4 Pm 3.65-3.66, 2 Ac 3.68-3.76
12 Pm 0.2480 0.1298 0.6558  6 Tb 3.62-3.78, 2 Ac 3.65, 4 Pm 3.65-3.72
13 Pm 0.2520 0.8702 0.1558  6 Tb 3.62-3.78, 2 Ac 3.65, 4 Pm 3.65-3.72
14 Pm 0.5000 0.1319 0.9930  6 Tb 3.60-3.81, 4 Pm 3.65-3.66, 2 Ac 3.68-3.76
15 Pm 0.7480 0.8702 0.1558  6 Tb 3.62-3.78, 2 Ac 3.65, 4 Pm 3.65-3.72
16 Pm 0.7520 0.1298 0.6558  6 Tb 3.62-3.78, 2 Ac 3.65, 4 Pm 3.65-3.72

* formation enthalpy at 0 K: 0.0413 eV per atom
* DFT total energy: -73.10 eV per cell

Record 2
DFT (PBE) results for an optimized crystal structure of Ac2Tb4Pm3.

Unit cell a=6.3594 b=6.3970 c=8.2558 alpha=82.32 beta=75.11 gamma=80.45
With the nearest neighbours (Å) after each atom.
Sites, in units of the cell vectors:
1 Ac 0.1702 0.3291 0.3293  4 Pm 3.65-3.75, 7 Tb 3.66-3.72, 1 Ac 3.79
2 Ac 0.8298 0.6709 0.6707  4 Pm 3.65-3.75, 7 Tb 3.66-3.72, 1 Ac 3.79
3 Tb 0.2767 0.5542 0.8886  5 Pm 3.64-3.70, 4 Tb 3.66-3.69, 3 Ac 3.66-3.67
4 Tb 0.3936 0.7745 0.4439  4 Pm 3.63-3.76, 4 Tb 3.64-3.70, 4 Ac 3.66-3.72
5 Tb 0.6064 0.2255 0.5561  4 Pm 3.63-3.76, 4 Tb 3.64-3.70, 4 Ac 3.66-3.72
6 Tb 0.7233 0.4458 0.1114  5 Pm 3.64-3.70, 4 Tb 3.66-3.69, 3 Ac 3.66-3.67
7 Pm 0.0610 0.1111 0.7827  3 Pm 3.61-3.70, 6 Tb 3.63-3.76, 3 Ac 3.70-3.75
8 Pm 0.5000 0.0000 0.0000  4 Pm 3.62-3.70, 2 Ac 3.65, 6 Tb 3.68-3.70
9 Pm 0.9390 0.8889 0.2173  3 Pm 3.61-3.70, 6 Tb 3.63-3.76, 3 Ac 3.70-3.75

* formation enthalpy at 0 K: 0.0398 eV per atom
* DFT total energy: -40.63 eV per cell

Record 3
DFT (PBE) results for an optimized crystal structure of Ac14TbPm.

Unit cell a=7.8871 b=7.8871 c=11.2189 alpha=90.00 beta=90.00 gamma=90.00
With the nearest neighbours (Å) after each atom.
Sites, in units of the cell vectors:
1 Ac 0.0000 0.0000 0.0000  12 Ac 3.94-4.00
2 Ac 0.0000 0.5000 0.0000  12 Ac 3.94-4.00
3 Ac 0.0000 0.5000 0.5000  8 Ac 3.91, 2 Pm 3.94, 2 Tb 3.94
4 Ac 0.2495 0.2495 0.2561  1 Tb 3.90, 10 Ac 3.91-4.01, 1 Pm 3.91
5 Ac 0.2495 0.2495 0.7439  1 Tb 3.90, 10 Ac 3.91-4.01, 1 Pm 3.91
6 Ac 0.2495 0.7505 0.2561  1 Tb 3.90, 10 Ac 3.91-4.01, 1 Pm 3.91
7 Ac 0.2495 0.7505 0.7439  1 Tb 3.90, 10 Ac 3.91-4.01, 1 Pm 3.91
8 Ac 0.5000 0.0000 0.0000  12 Ac 3.94-4.00
9 Ac 0.5000 0.0000 0.5000  8 Ac 3.91, 2 Pm 3.94, 2 Tb 3.94
10 Ac 0.5000 0.5000 0.0000  12 Ac 3.94-4.01
11 Ac 0.7505 0.2495 0.2561  1 Tb 3.90, 10 Ac 3.91-4.01, 1 Pm 3.91
12 Ac 0.7505 0.2495 0.7439  1 Tb 3.90, 10 Ac 3.91-4.01, 1 Pm 3.91
13 Ac 0.7505 0.7505 0.2561  1 Tb 3.90, 10 Ac 3.91-4.01, 1 Pm 3.91
14 Ac 0.7505 0.7505 0.7439  1 Tb 3.90, 10 Ac 3.91-4.01, 1 Pm 3.91
15 Tb 0.0000 0.0000 0.5000  12 Ac 3.90-3.94
16 Pm 0.5000 0.5000 0.5000  12 Ac 3.91-3.94

* formation enthalpy at 0 K: 0.0266 eV per atom
* DFT total energy: -66.47 eV per cell

Record 4
DFT (PBE) results for an optimized crystal structure of Ac2Tb5Pm5.

Unit cell a=8.2340 b=8.2340 c=11.6144 alpha=115.28 beta=115.28 gamma=36.60
With the nearest neighbours (Å) after each atom.
Sites, in units of the cell vectors:
1 Ac 0.0828 0.0828 0.2503  7 Tb 3.66-3.69, 5 Pm 3.67-3.72
2 Ac 0.9172 0.9172 0.7497  7 Tb 3.66-3.69, 5 Pm 3.67-3.72
3 Tb 0.3340 0.3340 0.4978  4 Tb 3.62-3.70, 5 Pm 3.63-3.73, 3 Ac 3.68
4 Tb 0.4139 0.4139 0.2500  7 Pm 3.60-3.67, 3 Tb 3.62-3.71, 2 Ac 3.69
5 Tb 0.5000 0.5000 0.0000  4 Ac 3.66, 6 Pm 3.69-3.74, 2 Tb 3.71
6 Tb 0.5861 0.5861 0.7500  7 Pm 3.60-3.67, 3 Tb 3.62-3.71, 2 Ac 3.69
7 Tb 0.6660 0.6660 0.5022  4 Tb 3.62-3.70, 5 Pm 3.63-3.73, 3 Ac 3.68
8 Pm 0.0000 0.0000 0.5000  2 Pm 3.61, 8 Tb 3.66, 2 Ac 3.67
9 Pm 0.1685 0.1685 0.0005  5 Tb 3.62-3.69, 5 Pm 3.63-3.68, 2 Ac 3.69-3.70
10 Pm 0.2453 0.2453 0.7474  6 Tb 3.60-3.74, 4 Pm 3.61-3.68, 2 Ac 3.72
11 Pm 0.7547 0.7547 0.2526  6 Tb 3.60-3.74, 4 Pm 3.61-3.68, 2 Ac 3.72
12 Pm 0.8315 0.8315 0.9995  5 Tb 3.62-3.69, 5 Pm 3.63-3.68, 2 Ac 3.69-3.70

* formation enthalpy at 0 K: 0.0351 eV per atom
* DFT total energy: -54.70 eV per cell